Arrangement 1

! Sr2NdMg, optimized geometry, DFT PBE-GGA; values from VASP
! Volume   163 Å³/f.u.
&SYSTEM
  ibrav = 0, nat = 4, ntyp = 3
/
ATOMIC_SPECIES
Sr 87.62 Sr.upf
Nd 144.24 Nd.upf
Mg 24.30 Mg.upf
CELL_PARAMETERS angstrom
1.895 1.094 13.135
-1.895 1.094 13.135
0.000 -2.189 13.135
ATOMIC_POSITIONS angstrom
Sr 0.000 0.000 3.664
Sr 0.000 0.000 35.742
Nd 0.000 0.000 0.000
Mg 0.000 0.000 19.703



Arrangement 2

! Sr2NdMg, optimized geometry, DFT PBE-GGA; values from VASP
! Volume   160 Å³/f.u.
&SYSTEM
  ibrav = 0, nat = 4, ntyp = 3
/
ATOMIC_SPECIES
Sr 87.62 Sr.upf
Nd 144.24 Nd.upf
Mg 24.30 Mg.upf
CELL_PARAMETERS angstrom
4.447 0.000 0.000
0.000 4.447 0.000
0.000 0.000 8.075
ATOMIC_POSITIONS angstrom
Sr 0.000 0.000 1.908
Sr 0.000 0.000 6.167
Nd 2.223 2.223 4.038
Mg 2.223 2.223 0.000



Most stable to least stable, the ends of the list are arrangement 2 and arrangement 1.



Arrangement 1

! TbNd2Mg, optimized geometry, DFT PBE-GGA; values from VASP
! Volume   127 Å³/f.u.
&SYSTEM
  ibrav = 0, nat = 4, ntyp = 3
/
ATOMIC_SPECIES
Tb 158.93 Tb.upf
Nd 144.24 Nd.upf
Mg 24.30 Mg.upf
CELL_PARAMETERS angstrom
3.730 0.000 0.000
0.000 3.730 0.000
0.000 0.000 9.093
ATOMIC_POSITIONS angstrom
Tb 0.000 0.000 0.000
Nd 1.865 1.865 2.459
Nd 1.865 1.865 6.633
Mg 0.000 0.000 4.546



Arrangement 2

! TbNd2Mg, optimized geometry, DFT PBE-GGA; values from VASP
! Volume   128 Å³/f.u.
&SYSTEM
  ibrav = 0, nat = 4, ntyp = 3
/
ATOMIC_SPECIES
Tb 158.93 Tb.upf
Nd 144.24 Nd.upf
Mg 24.30 Mg.upf
CELL_PARAMETERS angstrom
1.790 1.033 11.545
-1.790 1.033 11.545
0.000 -2.067 11.545
ATOMIC_POSITIONS angstrom
Tb 0.000 0.000 0.000
Nd 0.000 0.000 14.501
Nd 0.000 0.000 20.163
Mg 0.000 0.000 5.786



Arrangement 3

! TbNd2Mg, optimized geometry, DFT PBE-GGA; values from VASP
! Volume   126 Å³/f.u.
&SYSTEM
  ibrav = 0, nat = 4, ntyp = 3
/
ATOMIC_SPECIES
Tb 158.93 Tb.upf
Nd 144.24 Nd.upf
Mg 24.30 Mg.upf
CELL_PARAMETERS angstrom
0.000 3.975 3.975
3.975 0.000 3.975
3.975 3.975 0.000
ATOMIC_POSITIONS angstrom
Tb 0.000 0.000 0.000
Nd 1.988 1.988 1.988
Nd 5.963 5.963 5.963
Mg 3.975 3.975 3.975



Arrangement 4

! TbNd2Mg, optimized geometry, DFT PBE-GGA; values from VASP
! Volume   134 Å³/f.u.
&SYSTEM
  ibrav = 0, nat = 4, ntyp = 3
/
ATOMIC_SPECIES
Tb 158.93 Tb.upf
Nd 144.24 Nd.upf
Mg 24.30 Mg.upf
CELL_PARAMETERS angstrom
1.757 1.014 12.530
-1.757 1.014 12.530
0.000 -2.028 12.530
ATOMIC_POSITIONS angstrom
Tb 0.000 0.000 0.000
Nd 0.000 0.000 15.442
Nd 0.000 0.000 22.148
Mg 0.000 0.000 18.795



Most stable to least stable, the ends of the list are arrangement 1 and arrangement 4.



Arrangement 1

! TbNdMg4, optimized geometry, DFT PBE-GGA; values from VASP
! Volume   159 Å³/f.u.
&SYSTEM
  ibrav = 0, nat = 6, ntyp = 3
/
ATOMIC_SPECIES
Tb 158.93 Tb.upf
Nd 144.24 Nd.upf
Mg 24.30 Mg.upf
CELL_PARAMETERS angstrom
0.000 4.304 4.304
4.304 0.000 4.304
4.304 4.304 0.000
ATOMIC_POSITIONS angstrom
Tb 0.000 0.000 0.000
Nd 2.152 2.152 2.152
Mg 5.381 3.227 3.227
Mg 3.227 5.381 3.227
Mg 3.227 3.227 5.381
Mg 5.381 5.381 5.381



Arrangement 2

! TbNdMg4, optimized geometry, DFT PBE-GGA; values from VASP
! Volume   160 Å³/f.u.
&SYSTEM
  ibrav = 0, nat = 6, ntyp = 3
/
ATOMIC_SPECIES
Tb 158.93 Tb.upf
Nd 144.24 Nd.upf
Mg 24.30 Mg.upf
CELL_PARAMETERS angstrom
6.963 -1.736 0.000
6.963 1.736 0.000
-1.666 0.000 6.610
ATOMIC_POSITIONS angstrom
Tb 0.000 0.000 0.000
Nd -0.833 0.000 3.305
Mg 3.381 0.000 4.395
Mg 4.256 0.000 1.048
Mg 8.004 0.000 5.562
Mg 8.879 0.000 2.214



Most stable to least stable, the ends of the list are arrangement 1 and arrangement 2.



Arrangement 1

! TbNd6Mg2, optimized geometry, DFT PBE-GGA; values from VASP
! Volume   290 Å³/f.u.
&SYSTEM
  ibrav = 0, nat = 9, ntyp = 3
/
ATOMIC_SPECIES
Tb 158.93 Tb.upf
Nd 144.24 Nd.upf
Mg 24.30 Mg.upf
CELL_PARAMETERS angstrom
3.094 -5.316 0.000
3.094 5.316 0.000
0.000 0.000 8.822
ATOMIC_POSITIONS angstrom
Tb 0.000 0.000 0.000
Nd 1.507 0.900 2.970
Nd 3.094 1.846 0.000
Nd 1.507 -0.900 5.852
Nd 4.681 0.900 5.852
Nd 3.094 -1.846 0.000
Nd 4.681 -0.900 2.970
Mg 1.547 2.658 5.917
Mg 1.547 -2.658 2.904



Arrangement 2

! TbNd6Mg2, optimized geometry, DFT PBE-GGA; values from VASP
! Volume   297 Å³/f.u.
&SYSTEM
  ibrav = 0, nat = 18, ntyp = 3
/
ATOMIC_SPECIES
Tb 158.93 Tb.upf
Nd 144.24 Nd.upf
Mg 24.30 Mg.upf
CELL_PARAMETERS angstrom
9.649 -5.915 0.000
9.649 5.915 0.000
-0.004 0.000 5.197
ATOMIC_POSITIONS angstrom
Tb 9.646 3.002 3.898
Tb 9.648 -3.002 1.299
Nd 1.673 1.024 3.900
Nd 17.621 -1.024 1.298
Nd 6.075 3.529 3.895
Nd 1.675 -1.024 1.301
Nd 7.739 1.300 1.298
Nd 13.218 3.529 3.901
Nd 11.557 1.300 1.300
Nd 7.737 -1.300 3.897
Nd 6.077 -3.529 1.296
Nd 11.555 -1.300 3.899
Nd 17.620 1.024 3.896
Nd 13.219 -3.529 1.303
Mg 5.000 0.610 3.904
Mg 5.002 -0.610 1.305
Mg 14.293 0.610 3.892
Mg 14.294 -0.610 1.294



Most stable to least stable, the ends of the list are arrangement 1 and arrangement 2.



Arrangement 1

! Tb2Nd2Mg3, optimized geometry, DFT PBE-GGA; values from VASP
! Volume   208 Å³/f.u.
&SYSTEM
  ibrav = 0, nat = 7, ntyp = 3
/
ATOMIC_SPECIES
Tb 158.93 Tb.upf
Nd 144.24 Nd.upf
Mg 24.30 Mg.upf
CELL_PARAMETERS angstrom
1.966 -14.222 0.000
1.966 14.222 0.000
0.000 0.000 3.724
ATOMIC_POSITIONS angstrom
Tb 1.966 8.487 0.000
Tb 1.966 -8.487 0.000
Nd 1.966 12.186 0.000
Nd 1.966 -12.186 0.000
Mg 1.966 3.949 1.862
Mg 1.966 0.000 1.862
Mg 1.966 -3.949 1.862



Arrangement 2

! Tb2Nd2Mg3, optimized geometry, DFT PBE-GGA; values from VASP
! Volume   210 Å³/f.u.
&SYSTEM
  ibrav = 0, nat = 7, ntyp = 3
/
ATOMIC_SPECIES
Tb 158.93 Tb.upf
Nd 144.24 Nd.upf
Mg 24.30 Mg.upf
CELL_PARAMETERS angstrom
3.575 0.000 0.000
1.779 6.820 0.000
1.777 2.769 8.611
ATOMIC_POSITIONS angstrom
Tb 0.885 1.691 0.336
Tb 6.246 7.899 8.275
Nd 2.669 3.897 2.695
Nd 4.461 5.692 5.916
Mg 0.888 1.385 4.305
Mg 2.685 2.840 6.129
Mg 4.446 6.749 2.481



Most stable to least stable, the ends of the list are arrangement 1 and arrangement 2.



Arrangement 1

! TbNd8Mg2, optimized geometry, DFT PBE-GGA; values from VASP
! Volume   363 Å³/f.u.
&SYSTEM
  ibrav = 0, nat = 11, ntyp = 3
/
ATOMIC_SPECIES
Tb 158.93 Tb.upf
Nd 144.24 Nd.upf
Mg 24.30 Mg.upf
CELL_PARAMETERS angstrom
8.956 -2.593 0.000
8.956 2.593 0.000
-2.650 0.000 7.815
ATOMIC_POSITIONS angstrom
Tb 0.000 0.000 0.000
Nd 0.475 0.000 3.595
Nd 0.818 0.000 7.317
Nd 4.303 0.000 6.274
Nd 7.359 0.000 2.077
Nd 7.902 0.000 5.738
Nd 10.958 0.000 1.542
Nd 14.443 0.000 0.498
Nd 14.786 0.000 4.220
Mg 3.919 0.000 2.865
Mg 11.342 0.000 4.950



Arrangement 2

! TbNd8Mg2, optimized geometry, DFT PBE-GGA; values from VASP
! Volume   373 Å³/f.u.
&SYSTEM
  ibrav = 0, nat = 11, ntyp = 3
/
ATOMIC_SPECIES
Tb 158.93 Tb.upf
Nd 144.24 Nd.upf
Mg 24.30 Mg.upf
CELL_PARAMETERS angstrom
4.504 -7.967 0.000
4.504 7.967 0.000
-2.711 0.000 5.192
ATOMIC_POSITIONS angstrom
Tb 0.000 0.000 0.000
Nd 0.164 1.810 3.321
Nd 4.504 4.616 0.000
Nd 0.164 -1.810 3.321
Nd 3.134 0.000 1.069
Nd 3.163 0.000 4.123
Nd 6.133 1.810 1.871
Nd 4.504 -4.616 0.000
Nd 6.133 -1.810 1.871
Mg 3.149 3.079 2.596
Mg 3.149 -3.079 2.596



Most stable to least stable, the ends of the list are arrangement 1 and arrangement 2.